DFT (PBE) results for a relaxed Ga2SiO5 crystal.

a b c (Å): 3.5970 9.7941 9.4336
angles (deg): 90.00 90.00 90.00
Space group Cmcm (No. 63)
Asymmetric unit:
Ga (0.0000, 0.1299, 0.0732)
Si (0.0000, 0.1841, 0.7500)
O (0.0000, 0.0605, 0.6185)
O (0.0000, 0.2728, 0.2500)
O (0.0000, 0.3109, 0.6023)

Values from the calculation:
Density of states at the Fermi level   0.00 states/eV per cell
Total energy   -0.2429 Ha/atom